(1)
The following is a DFT calculation (PBE) of a relaxed structure of TlCr2SbN.

The structure belongs to space group P4/mmm (No. 123); the cell edges are 5.0714, 5.0714 and 5.5969 Å and the angles 90.00°, 90.00° and 90.00°. The asymmetric unit holds Tl at (0.0000, 0.0000, 0.0000), Cr at (0.0000, 0.5000, 0.0000), Sb at (0.0000, 0.0000, 0.5000) and N at (0.5000, 0.5000, 0.5000).

The formation energy from raw total energies is 1468.0 kJ/mol of formula units. The density of states at the Fermi level comes out at 9.48 states/eV per cell.

(2)
The following is a DFT calculation (PBE) of a relaxed structure of Sc2CrN.

The structure belongs to space group I-42d (No. 122); the cell edges are 8.4082, 8.4082 and 3.7245 Å and the angles 90.00°, 90.00° and 90.00°. The asymmetric unit holds Sc at (0.0892, 0.2500, 0.1250), Cr at (0.0000, 0.0000, 0.5000) and N at (0.0000, 0.0000, 0.0000).

The formation energy from raw total energies is -193.9 kJ/mol of formula units. The density of states at the Fermi level comes out at 18.34 states/eV per cell.

(3)
The following is a DFT calculation (PBE) of a relaxed structure of Sc2CrN3.

The structure belongs to space group Immm (No. 71); the cell edges are 3.0874, 3.5929 and 11.8315 Å and the angles 90.00°, 90.00° and 90.00°. The asymmetric unit holds Sc at (0.0000, 0.0000, 0.1536), Cr at (0.0000, 0.0000, 0.5000), N at (0.0000, 0.0000, 0.3338) and N at (0.0000, 0.5000, 0.5000).

The formation energy from raw total energies is -708.1 kJ/mol of formula units. The density of states at the Fermi level comes out at 5.31 states/eV per cell.